(1)
Material: Li2AlAgH
Method: DFT, PBE
State: relaxed

CIF file:
```
data_Li2AlAgH
_cell_length_a 3.8785
_cell_length_b 3.8785
_cell_length_c 4.2021
_cell_angle_alpha 90.00
_cell_angle_beta 90.00
_cell_angle_gamma 90.00
_symmetry_space_group_name_H-M 'P 4/m m m'
_symmetry_Int_Tables_number 123
_symmetry_space_group_name_Hall '-P 4 2'
loop_
_atom_site_label
_atom_site_fract_x
_atom_site_fract_y
_atom_site_fract_z
Li1 0.0000 0.5000 0.0000
Al1 0.0000 0.0000 0.5000
Ag1 0.5000 0.5000 0.5000
H1 0.0000 0.0000 0.0000
```

Output
DOS(E_F) (states/eV/f.u.): 1.2

(2)
Material: TbNd6Y2Mg
Method: DFT, PBE
State: relaxed

CIF file:
```
data_TbNd6Y2Mg
_cell_length_a 10.4940
_cell_length_b 13.7525
_cell_length_c 9.4697
_cell_angle_alpha 90.00
_cell_angle_beta 100.54
_cell_angle_gamma 90.00
_symmetry_space_group_name_H-M 'C 1 2/c 1'
_symmetry_Int_Tables_number 15
loop_
_symmetry_equiv_pos_as_xyz
'x,y,z'
'-x,-y,-z'
'-x,y,-z+1/2'
'x,-y,z+1/2'
'x+1/2,y+1/2,z'
'-x+1/2,-y+1/2,-z'
'-x+1/2,y+1/2,-z+1/2'
'x+1/2,-y+1/2,z+1/2'
loop_
_atom_site_label
_atom_site_fract_x
_atom_site_fract_y
_atom_site_fract_z
Tb1 0.0000 0.0674 0.2500
Nd1 0.0527 0.3796 0.0959
Nd2 0.0902 0.1676 0.9223
Nd3 0.2498 0.2140 0.3290
Y1 0.2321 0.0336 0.5962
Mg1 0.0000 0.4031 0.7500
```

Output
DOS(E_F) (states/eV/f.u.): 14.0

(3)
Material: LiLaTa2
Method: DFT, PBE
State: relaxed

CIF file:
```
data_LiLaTa2
_cell_length_a 3.2899
_cell_length_b 4.7667
_cell_length_c 5.3376
_cell_angle_alpha 90.00
_cell_angle_beta 90.00
_cell_angle_gamma 90.00
_symmetry_space_group_name_H-M 'P m m m'
_symmetry_Int_Tables_number 47
loop_
_symmetry_equiv_pos_as_xyz
'x,y,z'
'-x,-y,-z'
'-x,-y,z'
'x,y,-z'
'x,-y,-z'
'-x,y,z'
'-x,y,-z'
'x,-y,z'
loop_
_atom_site_label
_atom_site_fract_x
_atom_site_fract_y
_atom_site_fract_z
Li1 0.0000 0.0000 0.0000
La1 0.5000 0.5000 0.0000
Ta1 0.0000 0.5000 0.5000
Ta2 0.5000 0.0000 0.5000
```

Output
DOS(E_F) (states/eV/f.u.): 4.6

Number 1: total energy -14.54 eV for the cell shown. Number 2: total energy -186.81 eV for the cell shown. Number 3: total energy -28.37 eV for the cell shown.